Model P:
Material: AsWAu
Method: DFT, GGA-PBE
State: optimized geometry

Summary:
Total magnetic moment (μB/cell): 0.0
Crystal system: tetragonal

abc: 2.8682 2.8682 14.2536
angles: 90.00 90.00 90.00
Last column: nearest neighbours and their distance in Å.
Space group I4mm (No. 107)
Unique sites:
As1 0.0000 0.0000 0.0000  4 W 2.73, 4 As 2.87
W1 0.0000 0.0000 0.6283  4 As 2.73, 4 Au 2.85, 4 W 2.87
Au1 0.0000 0.0000 0.2683  4 W 2.85, 4 Au 2.87

Model Q:
Material: AsWAu
Method: DFT, GGA-PBE
State: optimized geometry

Summary:
Total magnetic moment (μB/cell): 0.0
Crystal system: hexagonal

abc: 4.5003 4.5003 2.9342
angles: 90.00 90.00 120.00
Last column: nearest neighbours and their distance in Å.
Space group P-6m2 (No. 187)
Unique sites:
As1 0.0000 0.0000 0.0000  3 W 2.60
W1 0.3333 0.6667 0.0000  3 As 2.60
Au1 0.6667 0.3333 0.5000  2 Au 2.93, 6 As 2.98, 6 W 2.98

Model R:
Material: AsWAu
Method: DFT, GGA-PBE
State: optimized geometry

Summary:
Total magnetic moment (μB/cell): 0.0
Crystal system: cubic

abc: 6.0440 6.0440 6.0440
angles: 90.00 90.00 90.00
Last column: nearest neighbours and their distance in Å.
Space group F-43m (No. 216)
Unique sites:
As1 0.0000 0.0000 0.0000  4 W 2.62, 4 Au 2.62
W1 0.2500 0.2500 0.7500  4 As 2.62
Au1 0.2500 0.2500 0.2500  4 As 2.62

Model S:
Material: AsWAu
Method: DFT, GGA-PBE
State: optimized geometry

Summary:
Total magnetic moment (μB/cell): 0.0
Crystal system: monoclinic

abc: 4.4972 4.5070 5.5118
angles: 90.00 113.52 90.00
Last column: nearest neighbours and their distance in Å.
Space group Cm (No. 8)
Unique sites:
As1 0.0000 0.0000 0.0000  4 W 2.58-2.59
W1 0.3774 0.0000 0.7474  4 As 2.58-2.59
Au1 0.1929 0.5000 0.3763  5 As 2.91-3.15, 5 W 2.92-3.18, 4 Au 3.18

It turns out model S is the most stable, with the second structure 46 meV/atom higher.

Model P:
Material: AsWAu
Method: DFT, GGA-PBE
State: optimized geometry

Summary:
Total magnetic moment (μB/cell): 0.0
Crystal system: orthorhombic

abc: 3.2363 4.6245 15.1704
angles: 90.00 90.00 90.00
Last column: nearest neighbours and their distance in Å.
Space group Fmm2 (No. 42)
Unique sites:
As1 0.0000 0.0000 0.0000  2 W 2.59, 4 As 2.82
W1 0.0000 0.0000 0.3671  2 As 2.59, 4 W 2.82, 2 Au 2.85
Au1 0.0000 0.0000 0.7122  4 Au 2.82, 2 W 2.85

Model Q:
Material: AsWAu
Method: DFT, GGA-PBE
State: optimized geometry

Summary:
Total magnetic moment (μB/cell): 0.0
Crystal system: trigonal

abc: 3.0516 3.0516 6.6229
angles: 90.00 90.00 120.00
Last column: nearest neighbours and their distance in Å.
Space group P3m1 (No. 156)
Unique sites:
As1 0.0000 0.0000 0.0000  3 W 2.54
W1 0.3333 0.6667 0.7230  3 As 2.54
Au1 0.6667 0.3333 0.3821  3 W 2.86, 6 Au 3.05, 3 As 3.08

It turns out model Q is the most stable, with the second structure 82 meV/atom higher.

Model P:
Material: YAs3Au
Method: DFT, GGA-PBE
State: optimized geometry

Summary:
Total magnetic moment (μB/cell): 0.0
Crystal system: cubic

abc: 5.3788 5.3788 5.3788
angles: 90.00 90.00 90.00
Last column: nearest neighbours and their distance in Å.
Space group Pm-3m (No. 221)
Unique sites:
Y1 0.0000 0.0000 0.0000  6 As 2.69
As1 0.0000 0.0000 0.5000  2 Y 2.69
Au1 0.5000 0.5000 0.5000  12 As 3.80

Model Q:
Material: YAs3Au
Method: DFT, GGA-PBE
State: optimized geometry

Summary:
Total magnetic moment (μB/cell): 0.0
Crystal system: cubic

abc: 5.0222 5.0222 5.0222
angles: 90.00 90.00 90.00
Last column: nearest neighbours and their distance in Å.
Space group Pm-3m (No. 221)
Unique sites:
Y1 0.0000 0.0000 0.0000  12 As 3.55
As1 0.0000 0.5000 0.5000  2 Au 2.51
Au1 0.5000 0.5000 0.5000  6 As 2.51

It turns out model Q is the most stable, with the second structure 492 meV/atom higher.

Model P:
Material: Y2AsAu2
Method: DFT, GGA-PBE
State: optimized geometry

Summary:
Total magnetic moment (μB/cell): 0.0
Crystal system: tetragonal

abc: 7.6151 7.6151 3.9973
angles: 90.00 90.00 90.00
Last column: nearest neighbours and their distance in Å.
Space group P4/mbm (No. 127)
Unique sites:
Y1 0.1735 0.3265 0.0000  6 Au 2.92-3.07
As1 0.0000 0.0000 0.5000  4 Au 2.99
Au1 0.1287 0.6287 0.5000  1 Au 2.77, 6 Y 2.92-3.07, 2 As 2.99

Model Q:
Material: Y2AsAu2
Method: DFT, GGA-PBE
State: optimized geometry

Summary:
Total magnetic moment (μB/cell): 0.0
Crystal system: tetragonal

abc: 7.8854 7.8854 3.9435
angles: 90.00 90.00 90.00
Last column: nearest neighbours and their distance in Å.
Space group P4/mbm (No. 127)
Unique sites:
Y1 0.1735 0.3265 0.0000  2 As 2.92, 6 Au 2.97-3.10
As1 0.0000 0.0000 0.0000  4 Y 2.92
Au1 0.1268 0.6268 0.5000  1 Au 2.83, 6 Y 2.97-3.10

It turns out model P is the most stable, with the second structure 50 meV/atom higher.

Model P:
Material: YAsAu3
Method: DFT, GGA-PBE
State: optimized geometry

Summary:
Total magnetic moment (μB/cell): 2.5
Crystal system: cubic

abc: 5.4885 5.4885 5.4885
angles: 90.00 90.00 90.00
Last column: nearest neighbours and their distance in Å.
Space group Pm-3m (No. 221)
Unique sites:
Y1 0.0000 0.0000 0.0000  6 Au 2.74
As1 0.5000 0.5000 0.5000  12 Au 3.88
Au1 0.0000 0.0000 0.5000  2 Y 2.74

Model Q:
Material: YAsAu3
Method: DFT, GGA-PBE
State: optimized geometry

Summary:
Total magnetic moment (μB/cell): 0.0
Crystal system: cubic

abc: 4.9282 4.9282 4.9282
angles: 90.00 90.00 90.00
Last column: nearest neighbours and their distance in Å.
Space group Pm-3m (No. 221)
Unique sites:
Y1 0.0000 0.0000 0.0000  12 Au 3.48
As1 0.5000 0.5000 0.5000  6 Au 2.46
Au1 0.0000 0.5000 0.5000  2 As 2.46

It turns out model Q is the most stable, with the second structure 819 meV/atom higher.

Model P:
Material: Zn2As2Au
Method: DFT, GGA-PBE
State: optimized geometry

Summary:
Total magnetic moment (μB/cell): 0.0
Crystal system: tetragonal

abc: 7.3251 7.3251 3.6210
angles: 90.00 90.00 90.00
Last column: nearest neighbours and their distance in Å.
Space group P4/mbm (No. 127)
Unique sites:
Zn1 0.1237 0.3763 0.0000  1 Zn 2.56, 2 As 2.62
As1 0.1939 0.6939 0.5000  2 Zn 2.62, 2 Au 2.65
Au1 0.0000 0.0000 0.5000  4 As 2.65

Model Q:
Material: Zn2As2Au
Method: DFT, GGA-PBE
State: optimized geometry

Summary:
Total magnetic moment (μB/cell): 0.0
Crystal system: tetragonal

abc: 3.7012 3.7012 14.0042
angles: 90.00 90.00 90.00
Last column: nearest neighbours and their distance in Å.
Space group I4/mmm (No. 139)
Unique sites:
Zn1 0.0000 0.0000 0.0897  1 Zn 2.51
As1 0.0000 0.5000 0.2500  4 As 2.62, 4 Zn 2.91
Au1 0.0000 0.0000 0.5000  8 Zn 2.90

It turns out model P is the most stable, with the second structure 50 meV/atom higher.

Model P:
Material: Zn2As2Au
Method: DFT, GGA-PBE
State: optimized geometry

Summary:
Total magnetic moment (μB/cell): 0.0
Crystal system: tetragonal

abc: 4.5363 4.5363 9.6288
angles: 90.00 90.00 90.00
Last column: nearest neighbours and their distance in Å.
Space group I4/mmm (No. 139)
Unique sites:
Zn1 0.0000 0.5000 0.2500  4 As 2.56
As1 0.0000 0.0000 0.1257  1 As 2.42, 4 Zn 2.56
Au1 0.0000 0.0000 0.5000  8 Zn 3.31, 10 As 3.43-3.60

Model Q:
Material: Zn2As2Au
Method: DFT, GGA-PBE
State: optimized geometry

Summary:
Total magnetic moment (μB/cell): 0.0
Crystal system: tetragonal

abc: 6.9988 6.9988 3.6623
angles: 90.00 90.00 90.00
Last column: nearest neighbours and their distance in Å.
Space group P4/mbm (No. 127)
Unique sites:
Zn1 0.1280 0.3720 0.0000  1 Zn 2.53, 2 As 2.61, 2 Au 2.75
As1 0.1836 0.6836 0.5000  6 Zn 2.61-2.87
Au1 0.0000 0.0000 0.0000  4 Zn 2.75

It turns out model Q is the most stable, with the second structure 6 meV/atom higher.

Model P:
Material: ZnAs2Au2
Method: DFT, GGA-PBE
State: optimized geometry

Summary:
Total magnetic moment (μB/cell): 0.0
Crystal system: tetragonal

abc: 7.1194 7.1194 3.9011
angles: 90.00 90.00 90.00
Last column: nearest neighbours and their distance in Å.
Space group P4/mbm (No. 127)
Unique sites:
Zn1 0.0000 0.0000 0.0000  4 As 2.63
As1 0.1755 0.3245 0.0000  2 Zn 2.63, 2 Au 2.69
Au1 0.1407 0.6407 0.5000  6 As 2.69-2.99, 1 Au 2.83

Model Q:
Material: ZnAs2Au2
Method: DFT, GGA-PBE
State: optimized geometry

Summary:
Total magnetic moment (μB/cell): 0.0
Crystal system: tetragonal

abc: 7.0270 7.0270 3.9051
angles: 90.00 90.00 90.00
Last column: nearest neighbours and their distance in Å.
Space group P4/mbm (No. 127)
Unique sites:
Zn1 0.0000 0.0000 0.0000  4 Au 2.70
As1 0.1666 0.3334 0.5000  6 Au 2.71-2.93
Au1 0.1445 0.6445 0.0000  2 Zn 2.70, 6 As 2.71-2.93, 1 Au 2.87

It turns out model P is the most stable, with the second structure 11 meV/atom higher.

Model P:
Material: Zn3AsAu
Method: DFT, GGA-PBE
State: optimized geometry

Summary:
Total magnetic moment (μB/cell): 0.0
Crystal system: cubic

abc: 4.8627 4.8627 4.8627
angles: 90.00 90.00 90.00
Last column: nearest neighbours and their distance in Å.
Space group Pm-3m (No. 221)
Unique sites:
Zn1 0.0000 0.0000 0.5000  2 Au 2.43
As1 0.5000 0.5000 0.5000  12 Zn 3.44
Au1 0.0000 0.0000 0.0000  6 Zn 2.43

Model Q:
Material: Zn3AsAu
Method: DFT, GGA-PBE
State: optimized geometry

Summary:
Total magnetic moment (μB/cell): 0.0
Crystal system: cubic

abc: 4.8720 4.8720 4.8720
angles: 90.00 90.00 90.00
Last column: nearest neighbours and their distance in Å.
Space group Pm-3m (No. 221)
Unique sites:
Zn1 0.0000 0.0000 0.5000  2 As 2.44
As1 0.0000 0.0000 0.0000  6 Zn 2.44
Au1 0.5000 0.5000 0.5000  12 Zn 3.45

It turns out model P is the most stable, with the second structure 8 meV/atom higher.